No. 1
NdDy6Ho2Tm PBE-GGA optimized geometry; energy of formation from the pure elements = 2.76 kcal/mol of atoms; volume = 320.4 Å³/f.u.; SG = No. 15
1.0
9.051 -1.964 -2.038
0.835 8.494 -1.990
0.835 -2.304 8.414
Dy Ho Tm Nd
12 4 2 2
direct
0.316 0.985 0.435 Dy
0.684 0.015 0.565 Dy
0.943 0.876 0.248 Dy
0.816 0.435 0.985 Dy
0.057 0.124 0.752 Dy
0.443 0.248 0.876 Dy
0.882 0.291 0.510 Dy
0.118 0.709 0.490 Dy
0.557 0.752 0.124 Dy
0.184 0.565 0.015 Dy
0.618 0.490 0.709 Dy
0.382 0.510 0.291 Dy
0.547 0.201 0.306 Ho
0.047 0.306 0.201 Ho
0.453 0.799 0.694 Ho
0.953 0.694 0.799 Ho
0.750 0.590 0.410 Tm
0.250 0.410 0.590 Tm
0.250 0.974 0.026 Nd
0.750 0.026 0.974 Nd

---

No. 2
NdDyHo2Tm2 PBE-GGA optimized geometry; energy of formation from the pure elements = 6.53 kcal/mol of atoms; volume = 194.6 Å³/f.u.; SG = No. 58
1.0
3.384 0.000 0.000
0.000 6.493 0.000
0.000 0.000 17.710
Ho Dy Nd Tm
4 2 2 4
direct
0.500 0.722 0.687 Ho
0.500 0.278 0.313 Ho
0.000 0.778 0.187 Ho
0.000 0.222 0.813 Ho
0.000 0.000 0.500 Dy
0.500 0.500 0.000 Dy
0.000 0.000 0.000 Nd
0.500 0.500 0.500 Nd
0.000 0.720 0.852 Tm
0.500 0.780 0.352 Tm
0.000 0.280 0.148 Tm
0.500 0.220 0.648 Tm

---

No. 3
NdDyHoTm3 PBE-GGA optimized geometry; energy of formation from the pure elements = 0.58 kcal/mol of atoms; volume = 187.4 Å³/f.u.; SG = No. 63
1.0
4.999 0.000 0.000
-2.500 7.497 0.000
0.000 0.000 10.001
Ho Dy Tm Nd
2 2 6 2
direct
0.832 0.663 0.750 Ho
0.168 0.337 0.250 Ho
0.000 0.000 0.000 Dy
0.000 0.000 0.500 Dy
0.668 0.336 0.000 Tm
0.168 0.336 0.750 Tm
0.668 0.336 0.500 Tm
0.332 0.664 0.000 Tm
0.832 0.664 0.250 Tm
0.332 0.664 0.500 Tm
0.500 0.001 0.750 Nd
0.500 0.999 0.250 Nd